No. 1
First-principles (PBE) data for crystalline AcCdAgO3 at its relaxed geometry, as listed in Alexandria.

a = 6.8422 Å, b = 3.4945 Å, c = 8.6483 Å
α = 90.00°, β = 104.58°, γ = 90.00°
Space group P2_1/m (No. 11)
Inequivalent atoms, fractional coordinates:
Ac: 0.1940 0.2500 0.2190 (multiplicity 2)
Cd: 0.3287 0.7500 0.8780 (multiplicity 2)
Ag: 0.1789 0.2500 0.5998 (multiplicity 2)
O: 0.1010 0.2500 0.8932 (multiplicity 2)
O: 0.2019 0.7500 0.4222 (multiplicity 2)
O: 0.4485 0.7500 0.1552 (multiplicity 2)

Energy relative to the elements, uncorrected = -1.5947 eV/atom

No. 2
First-principles (PBE) data for crystalline AcCd2AgO4 at its relaxed geometry, as listed in Alexandria.

a = 3.7009 Å, b = 13.1073 Å, c = 10.8558 Å
α = 90.00°, β = 90.00°, γ = 90.00°
Space group Cmcm (No. 63)
Inequivalent atoms, fractional coordinates:
Ac: 0.0000 0.0908 0.2500 (multiplicity 4)
Cd: 0.0000 0.3896 0.0518 (multiplicity 8)
Ag: 0.0000 0.1827 0.7500 (multiplicity 4)
O: 0.0000 0.0000 0.0000 (multiplicity 4)
O: 0.0000 0.3235 0.6261 (multiplicity 8)
O: 0.0000 0.4438 0.2500 (multiplicity 4)

Energy relative to the elements, uncorrected = -1.4189 eV/atom

No. 3
First-principles (PBE) data for crystalline Ac2CdAg2O6 at its relaxed geometry, as listed in Alexandria.

a = 6.2938 Å, b = 6.2938 Å, c = 17.0529 Å
α = 90.00°, β = 90.00°, γ = 120.00°
Space group R-3m (No. 166, hexagonal axes)
Inequivalent atoms, fractional coordinates:
Ac: 0.0000 0.0000 0.2060 (multiplicity 6)
Cd: 0.0000 0.0000 0.0000 (multiplicity 3)
Ag: 0.0000 0.0000 0.4153 (multiplicity 6)
O: 0.0475 0.5238 0.7651 (multiplicity 18)

Energy relative to the elements, uncorrected = -1.3555 eV/atom

No. 4
First-principles (PBE) data for crystalline Ac2CdAg4Pb2 at its relaxed geometry, as listed in Alexandria.

a = 6.9678 Å, b = 6.9678 Å, c = 10.1769 Å
α = 90.00°, β = 90.00°, γ = 90.00°
Space group I4/mmm (No. 139)
Inequivalent atoms, fractional coordinates:
Ac: 0.0000 0.5000 0.2500 (multiplicity 4)
Cd: 0.0000 0.0000 0.0000 (multiplicity 2)
Ag: 0.2198 0.2198 0.5000 (multiplicity 8)
Pb: 0.0000 0.0000 0.2983 (multiplicity 4)

ΔH_f (0 K) = -0.207 eV/atom

No. 5
First-principles (PBE) data for crystalline AcCdAgPb at its relaxed geometry, as listed in Alexandria.

a = 7.6662 Å, b = 7.6662 Å, c = 7.6662 Å
α = 90.00°, β = 90.00°, γ = 90.00°
Space group F-43m (No. 216)
Inequivalent atoms, fractional coordinates:
Ac: 0.0000 0.0000 0.0000 (multiplicity 4)
Cd: 0.2500 0.2500 0.7500 (multiplicity 4)
Ag: 0.2500 0.2500 0.2500 (multiplicity 4)
Pb: 0.0000 0.0000 0.5000 (multiplicity 4)

ΔH_f (0 K) = -0.252 eV/atom

No. 6
First-principles (PBE) data for crystalline Ac2Cd12Ag3Pd at its relaxed geometry, as listed in Alexandria.

a = 6.5220 Å, b = 6.5220 Å, c = 37.6612 Å
α = 90.00°, β = 90.00°, γ = 120.00°
Space group R-3m (No. 166, hexagonal axes)
Inequivalent atoms, fractional coordinates:
Ac: 0.0000 0.0000 0.1414 (multiplicity 6)
Cd: 0.0041 0.5021 0.1114 (multiplicity 18)
Cd: 0.0303 0.5152 0.6132 (multiplicity 18)
Ag: 0.0000 0.5000 0.0000 (multiplicity 9)
Pd: 0.0000 0.0000 0.5000 (multiplicity 3)

ΔH_f (0 K) = -0.070 eV/atom

No. 7
First-principles (PBE) data for crystalline AcCd2AgPd2 at its relaxed geometry, as listed in Alexandria.

a = 5.3503 Å, b = 5.3503 Å, c = 11.0131 Å
α = 90.00°, β = 90.00°, γ = 90.00°
Space group I4/mmm (No. 139)
Inequivalent atoms, fractional coordinates:
Ac: 0.0000 0.0000 0.0000 (multiplicity 2)
Cd: 0.0000 0.5000 0.2500 (multiplicity 4)
Ag: 0.0000 0.0000 0.5000 (multiplicity 2)
Pd: 0.0000 0.0000 0.2575 (multiplicity 4)

ΔH_f (0 K) = -0.197 eV/atom

No. 8
First-principles (PBE) data for crystalline Ac3Cd2AgPd6 at its relaxed geometry, as listed in Alexandria.

a = 5.8914 Å, b = 5.8914 Å, c = 9.1959 Å
α = 90.00°, β = 90.00°, γ = 120.00°
Space group P-3m1 (No. 164)
Inequivalent atoms, fractional coordinates:
Ac: 0.0000 0.0000 0.0000 (multiplicity 1)
Ac: 0.3333 0.6667 0.6158 (multiplicity 2)
Cd: 0.3333 0.6667 0.0149 (multiplicity 2)
Ag: 0.0000 0.0000 0.5000 (multiplicity 1)
Pd: 0.1734 0.3468 0.2713 (multiplicity 6)

ΔH_f (0 K) = -0.593 eV/atom

No. 9
First-principles (PBE) data for crystalline AcCdAgPd at its relaxed geometry, as listed in Alexandria.

a = 7.3186 Å, b = 7.3186 Å, c = 7.3186 Å
α = 90.00°, β = 90.00°, γ = 90.00°
Space group F-43m (No. 216)
Inequivalent atoms, fractional coordinates:
Ac: 0.0000 0.0000 0.0000 (multiplicity 4)
Cd: 0.0000 0.0000 0.5000 (multiplicity 4)
Ag: 0.2500 0.2500 0.2500 (multiplicity 4)
Pd: 0.2500 0.2500 0.7500 (multiplicity 4)

ΔH_f (0 K) = -0.390 eV/atom

No. 10
First-principles (PBE) data for crystalline AcCd2AgPd4 at its relaxed geometry, as listed in Alexandria.

a = 4.6384 Å, b = 4.6384 Å, c = 26.1520 Å
α = 90.00°, β = 90.00°, γ = 120.00°
Space group R-3m (No. 166, hexagonal axes)
Inequivalent atoms, fractional coordinates:
Ac: 0.0000 0.0000 0.0000 (multiplicity 3)
Cd: 0.0000 0.0000 0.2342 (multiplicity 6)
Ag: 0.0000 0.0000 0.5000 (multiplicity 3)
Pd: 0.0000 0.0000 0.1225 (multiplicity 6)
Pd: 0.0000 0.0000 0.3965 (multiplicity 6)

ΔH_f (0 K) = -0.440 eV/atom

No. 11
First-principles (PBE) data for crystalline AcCdAgPd at its relaxed geometry, as listed in Alexandria.

a = 8.3230 Å, b = 4.8173 Å, c = 5.7177 Å
α = 90.00°, β = 119.03°, γ = 90.00°
Space group Cm (No. 8)
Inequivalent atoms, fractional coordinates:
Ac: 0.0000 0.0000 0.0000 (multiplicity 2)
Cd: 0.4902 0.0000 0.4701 (multiplicity 2)
Ag: 0.2125 0.0000 0.6372 (multiplicity 2)
Pd: 0.2884 0.5000 0.3642 (multiplicity 2)

ΔH_f (0 K) = -0.469 eV/atom

No. 12
First-principles (PBE) data for crystalline AcCdAg2Pd at its relaxed geometry, as listed in Alexandria.

a = 4.2036 Å, b = 4.2873 Å, c = 13.1357 Å
α = 90.00°, β = 90.00°, γ = 90.00°
Space group Imm2 (No. 44)
Inequivalent atoms, fractional coordinates:
Ac: 0.0000 0.0000 0.0000 (multiplicity 2)
Cd: 0.0000 0.5000 0.7664 (multiplicity 2)
Ag: 0.0000 0.0000 0.6215 (multiplicity 2)
Ag: 0.0000 0.5000 0.2696 (multiplicity 2)
Pd: 0.0000 0.0000 0.4132 (multiplicity 2)

ΔH_f (0 K) = -0.388 eV/atom

DFT total energy, record by record: -0.3959, -0.3673, -0.3975, -0.2435, -0.2313, -0.1396, -0.2494, -0.3386, -0.2688, -0.3039, -0.2746, -0.2625 Ry per atom